## Ce2ZnCu2Pd5 (GGA-PBE)

Data for a relaxed structure of Ce2ZnCu2Pd5.

Computed properties:
D(E_F) in states/eV/cell: 25.25
ΔH_f (0 K) in eV per atom: -0.538
Space group: P4/mbm, No. 127
Spin magnetization in μB/atom: 0.126

Unit cell a=3.875 b=9.509 c=9.509 alpha=90.00 beta=90.00 gamma=90.00
Positions (direct):
Pd 0.500 0.500 0.000
Ce 0.000 0.177 0.323
Pd 0.500 0.202 0.067
Pd 0.500 0.067 0.798
Zn 0.000 0.000 0.000
Ce 0.000 0.677 0.177
Pd 0.500 0.702 0.433
Cu 0.000 0.878 0.378
Pd 0.500 0.798 0.933
Pd 0.500 0.433 0.298
Cu 0.000 0.122 0.622
Pd 0.500 0.298 0.567
Pd 0.500 0.000 0.500
Cu 0.000 0.378 0.122
Pd 0.500 0.567 0.702
Ce 0.000 0.823 0.677
Cu 0.000 0.622 0.878
Zn 0.000 0.500 0.500
Ce 0.000 0.323 0.823
Pd 0.500 0.933 0.202

---

## NaTiAl (GGA-PBE)

Data for a relaxed structure of NaTiAl.

Computed properties:
D(E_F) in states/eV/cell: 2.04
Polymorph energy (0 for the lowest one) in eV/atom: 0.195
ΔH_f (0 K) in eV per atom: 0.156
Space group: Cm, No. 8
Spin magnetization in μB/atom: 0.000

Unit cell a=27.205 b=8.730 c=8.730 alpha=160.51 beta=165.86 gamma=14.14
Positions (direct):
Ti 0.932 0.399 0.601
Al 0.006 0.916 0.084
Na 0.490 0.945 0.055
Na 0.031 0.543 0.457
Al 0.548 0.162 0.838
Ti 0.471 0.646 0.354

---

## SrNbS2N (GGA-PBE)

Data for a relaxed structure of SrNbS2N.

Computed properties:
D(E_F) in states/eV/cell: 6.98
Polymorph energy (0 for the lowest one) in eV/atom: 2.429
Formation energy without anion corrections in meV/atom: 1348
Space group: P4/mmm, No. 123
Spin magnetization in μB/atom: 0.022

Unit cell a=5.260 b=5.260 c=4.213 alpha=90.00 beta=90.00 gamma=90.00
Positions (direct):
Sr 0.000 0.000 0.000
N 0.000 0.000 0.500
Nb 0.500 0.500 0.500
S 0.500 0.000 0.000
S 0.000 0.500 0.000

---

## Pm6Ni2IrI3 (GGA-PBE)

Data for a relaxed structure of Pm6Ni2IrI3.

Computed properties:
D(E_F) in states/eV/cell: 7.41
Formation energy without anion corrections in meV/atom: -778
Space group: C2/m, No. 12
Spin magnetization in μB/atom: 0.000

Unit cell a=7.166 b=7.166 c=8.399 alpha=98.18 beta=98.18 gamma=120.02
Positions (direct):
Ni 0.667 0.333 0.000
I 0.167 0.833 0.500
Ni 0.333 0.667 0.000
Pm 0.396 0.061 0.183
Pm 0.726 0.726 0.183
I 0.833 0.167 0.500
Ir 0.000 0.000 0.000
Pm 0.061 0.396 0.183
I 0.500 0.500 0.500
Pm 0.274 0.274 0.817
Pm 0.604 0.939 0.817
Pm 0.939 0.604 0.817